Material: LiNbCoO4
Method: DFT, GGA+U
State: optimized geometry

Crystal system = tetragonal
Space-group type = No. 95
Calculated total energy = -205.0 eV/cell
D(E_F) = 0.0 states/eV per cell
Offset from the most stable computed form = 0.026 eV per atom
Spin magnetization = 12.03 μB/cell

a b c (Å): 6.1104 6.1104 8.6023
angles (deg): 90.00 90.00 90.00
Fractional positions:
1 Li 0.0000 0.2370 0.0000
2 Li 0.0000 0.7630 0.5000
3 Li 0.2370 0.0000 0.2500
4 Li 0.7630 0.0000 0.7500
5 Nb 0.2529 0.2529 0.6250
6 Nb 0.2529 0.7471 0.8750
7 Nb 0.7471 0.2529 0.3750
8 Nb 0.7471 0.7471 0.1250
9 Co 0.2411 0.5000 0.2500
10 Co 0.5000 0.2411 0.0000
11 Co 0.5000 0.7589 0.5000
12 Co 0.7589 0.5000 0.7500
13 O 0.0019 0.2554 0.2540
14 O 0.0019 0.7446 0.2460
15 O 0.2554 0.0019 0.9960
16 O 0.2554 0.9981 0.5040
17 O 0.2560 0.4962 0.0065
18 O 0.2560 0.5038 0.4935
19 O 0.4962 0.2560 0.2435
20 O 0.4962 0.7440 0.2565
21 O 0.5038 0.2560 0.7565
22 O 0.5038 0.7440 0.7435
23 O 0.7440 0.4962 0.9935
24 O 0.7440 0.5038 0.5065
25 O 0.7446 0.0019 0.0040
26 O 0.7446 0.9981 0.4960
27 O 0.9981 0.2554 0.7460
28 O 0.9981 0.7446 0.7540